Record 1
This record from Alexandria via LeMat-Bulk describes a geometry-optimized Y2ErSc structure. The functional is PBE.

Formation enthalpy at 0 K, eV/atom: 0.02
ΔE to the lowest computed polymorph, meV per atom: 0
Uncorrected energy, eV/atom: -5.934

Lattice parameters (Å, degrees): 3.5592 6.5679 6.5587 124.33 105.74 74.28
Sites, in units of the cell vectors:
Sc 0.6264 0.5916 0.9603
Y 0.8810 0.6729 0.5514
Y 0.1238 0.0875 0.4510
Er 0.3688 0.1840 0.0373


Record 2
This record from Alexandria via LeMat-Bulk describes a geometry-optimized YZnHg3 structure. The functional is PBE.

Formation enthalpy at 0 K, eV/atom: 0.07
ΔE to the lowest computed polymorph, meV per atom: 304
Uncorrected energy, eV/atom: -1.655

Lattice parameters (Å, degrees): 5.0484 5.0484 5.0484 90.00 90.00 90.00
Sites, in units of the cell vectors:
Y 0.5000 0.5000 0.5000
Hg 0.0000 0.0000 0.5000
Hg 0.0000 0.5000 0.0000
Hg 0.5000 0.0000 0.0000
Zn 0.0000 0.0000 0.0000


Record 3
This record from Alexandria via LeMat-Bulk describes a geometry-optimized Na2Ag2Pd structure. The functional is PBE.

Formation enthalpy at 0 K, eV/atom: 0.23
ΔE to the lowest computed polymorph, meV per atom: 276
Uncorrected energy, eV/atom: -2.480

Lattice parameters (Å, degrees): 7.7969 7.7969 3.2775 90.00 90.00 90.00
Sites, in units of the cell vectors:
Na 0.3650 0.8650 0.0000
Na 0.1350 0.3650 0.0000
Na 0.8650 0.6350 0.0000
Na 0.6350 0.1350 0.0000
Ag 0.6693 0.8307 0.5000
Ag 0.1693 0.6693 0.5000
Ag 0.8307 0.3307 0.5000
Ag 0.3307 0.1693 0.5000
Pd 0.5000 0.5000 0.0000
Pd 0.0000 0.0000 0.0000


Record 4
This record from Alexandria via LeMat-Bulk describes a geometry-optimized DyTh3Sc3 structure. The functional is PBE.

Formation enthalpy at 0 K, eV/atom: 0.06
Uncorrected energy, eV/atom: -6.493

Lattice parameters (Å, degrees): 7.7158 7.7158 7.7158 72.15 72.15 72.15
Sites, in units of the cell vectors:
Sc 0.5349 0.8171 0.3904
Sc 0.1829 0.6096 0.4651
Sc 0.8171 0.3904 0.5349
Sc 0.4651 0.1829 0.6096
Sc 0.6096 0.4651 0.1829
Sc 0.3904 0.5349 0.8171
Dy 0.2513 0.2513 0.2513
Dy 0.7487 0.7487 0.7487
Th 0.1140 0.9585 0.6764
Th 0.9585 0.6764 0.1140
Th 0.0415 0.3236 0.8860
Th 0.6764 0.1140 0.9585
Th 0.8860 0.0415 0.3236
Th 0.3236 0.8860 0.0415